Record 1
Computed, not measured: MnGa2Co3 after structural relaxation at the PBE level of DFT.

Computed properties:
formation enthalpy at 0 K = -0.219 eV per atom
theoretical density = 8.66 g/cm³
E = -75.707 eV for the cell shown

a = 4.0243 Å, b = 12.0695 Å, c = 2.9299 Å
α = 90.00°, β = 90.00°, γ = 90.00°
Space group Cmmm (No. 65)
Symmetry-distinct sites (fractional):
Mn  0.0000  0.0000  0.0000 x2
Ga  0.0000  0.3382  0.0000 x4
Co  0.0000  0.1679  0.5000 x4
Co  0.0000  0.5000  0.5000 x2

***

Record 2
Computed, not measured: Pm5SmHo4 after structural relaxation at the PBE level of DFT.

Computed properties:
formation enthalpy at 0 K = 0.016 eV per atom
energy above the most stable polymorph in this dataset = 0.0000 eV per atom
theoretical density = 7.76 g/cm³
E = -93.252 eV for the cell shown

a = 18.6636 Å, b = 3.5990 Å, c = 10.1746 Å
α = 90.00°, β = 106.10°, γ = 90.00°
Space group C2/m (No. 12)
Symmetry-distinct sites (fractional):
Pm  0.0000  0.0000  0.0000 x2
Pm  0.1006  0.5000  0.3028 x4
Pm  0.2003  0.0000  0.1004 x4
Sm  0.0000  0.0000  0.5000 x2
Ho  0.1008  0.5000  0.7981 x4
Ho  0.1998  0.0000  0.5999 x4

***

Record 3
Computed, not measured: Nd3Y8Th2 after structural relaxation at the PBE level of DFT.

Computed properties:
formation enthalpy at 0 K = 0.278 eV per atom
energy above the most stable polymorph in this dataset = 0.2005 eV per atom
theoretical density = 5.97 g/cm³
E = -154.483 eV for the cell shown

a = 20.6889 Å, b = 7.4558 Å, c = 5.7950 Å
α = 90.00°, β = 90.04°, γ = 90.00°
Space group C2/m (No. 12)
Symmetry-distinct sites (fractional):
Nd  0.0000  0.0000  0.0000 x2
Nd  0.0000  0.2828  0.5000 x4
Y  0.1103  0.2844  0.9996 x8
Y  0.1407  0.0000  0.4992 x4
Y  0.1725  0.5000  0.5002 x4
Th  0.2448  0.0000  0.9992 x4

***

Record 4
Computed, not measured: SmGaCo after structural relaxation at the PBE level of DFT.

Computed properties:
formation enthalpy at 0 K = -0.086 eV per atom
theoretical density = 7.65 g/cm³
E = -60.444 eV for the cell shown

a = 5.5647 Å, b = 7.5690 Å, c = 5.7529 Å
α = 90.00°, β = 90.00°, γ = 90.00°
Space group Cmcm (No. 63)
Symmetry-distinct sites (fractional):
Sm  0.0000  0.1552  0.2500 x4
Ga  0.0000  0.2426  0.7500 x4
Co  0.0000  0.5000  0.0000 x4